No. 1
The following is a DFT calculation (PBE) of a relaxed La2Ce3PuSe6 crystal.

Output
Uncorrected formation energy = -1826 meV per atom
Total moment = 13.50 μB per cell

Cell and atoms, written as CIF:
```
data_La2Ce3PuSe6
_chemical_formula_sum 'La4 Ce6 Pu2 Se12'
_cell_length_a 18.463
_cell_length_b 4.221
_cell_length_c 8.506
_cell_angle_alpha 90.00
_cell_angle_beta 103.54
_cell_angle_gamma 90.00
_space_group_name_H-M_alt 'C 1 2/m 1'
_space_group_IT_number 12
loop_
_space_group_symop_operation_xyz
'x,y,z'
'-x,-y,-z'
'-x,y,-z'
'x,-y,z'
'x+1/2,y+1/2,z'
'-x+1/2,-y+1/2,-z'
'-x+1/2,y+1/2,-z'
'x+1/2,-y+1/2,z'
loop_
_atom_site_label
_atom_site_type_symbol
_atom_site_fract_x
_atom_site_fract_y
_atom_site_fract_z
_atom_site_occupancy
La1 La 0.165 0.000 0.333 1
Ce1 Ce 0.000 0.500 0.500 1
Ce2 Ce 0.168 0.000 0.835 1
Pu1 Pu 0.000 0.500 0.000 1
Se1 Se 0.003 0.000 0.756 1
Se2 Se 0.165 0.500 0.078 1
Se3 Se 0.166 0.500 0.588 1
```



No. 2
The following is a DFT calculation (PBE) of a relaxed La4Ce3PuTe8 crystal.

Output
Uncorrected formation energy = -1448 meV per atom
Total moment = 28.40 μB per cell

Cell and atoms, written as CIF:
```
data_La4Ce3PuTe8
_chemical_formula_sum 'La12 Ce9 Pu3 Te24'
_cell_length_a 9.0293
_cell_length_b 9.0293
_cell_length_c 22.3773
_cell_angle_alpha 90.00
_cell_angle_beta 90.00
_cell_angle_gamma 120.00
_space_group_name_H-M_alt 'R -3 m'
_space_group_IT_number 166
_space_group_name_Hall '-R 3 2"'
loop_
_atom_site_label
_atom_site_type_symbol
_atom_site_fract_x
_atom_site_fract_y
_atom_site_fract_z
_atom_site_occupancy
La1 La 0.0000 0.0000 0.0000 1
La2 La 0.0000 0.5000 0.0000 1
Ce1 Ce 0.0000 0.5000 0.5000 1
Pu1 Pu 0.0000 0.0000 0.5000 1
Te1 Te 0.0000 0.0000 0.2482 1
Te2 Te 0.0024 0.5012 0.2476 1
```



> Which formula does entry 1 have?

La2Ce3PuSe6



> What is the formula in the first record?

La2Ce3PuSe6



> Look up the total moment of the first one.

13.50 μB per cell



> The highest uncorrected formation energy belongs to which entry?

La4Ce3PuTe8